No. 1
## Li3Mg2In8 (GGA-PBE)

Data for an optimized crystal structure of Li3Mg2In8. Values from VASP.

Output
- Excess energy over the best structure of this formula in the dataset: 0.0 meV/atom
- DFT total energy: -2.464 eV/atom
- V: 310.9 Å³ per cell
- D(E_F): 4.9 states/eV per cell
- Space group: C2/m
- Formation energy from the elements: -0.091 eV per atom

Geometry as Quantum ESPRESSO input:
```
&SYSTEM
  ibrav = 0, nat = 13, ntyp = 3
/
ATOMIC_SPECIES
Li 6.94 Li.upf
Mg 24.30 Mg.upf
In 114.82 In.upf
CELL_PARAMETERS angstrom
6.000 -5.144 0.000
6.000 5.144 0.000
-1.176 0.000 5.037
ATOMIC_POSITIONS crystal
Li 0.000 0.000 0.000
Li 0.244 0.756 0.500
Li 0.756 0.244 0.500
Mg 0.298 0.298 0.151
Mg 0.702 0.702 0.849
In 0.093 0.623 0.894
In 0.148 0.148 0.568
In 0.377 0.907 0.106
In 0.428 0.428 0.711
In 0.572 0.572 0.289
In 0.623 0.093 0.894
In 0.852 0.852 0.432
In 0.907 0.377 0.106
```


No. 2
## La2YIr (GGA-PBE)

Data for an optimized crystal structure of La2YIr. Values from VASP.

Output
- Excess energy over the best structure of this formula in the dataset: 147.8 meV/atom
- DFT total energy: -6.642 eV/atom
- V: 118.2 Å³ per cell
- D(E_F): 4.6 states/eV per cell
- Space group: P4mm
- Formation energy from the elements: -0.348 eV per atom

Geometry as Quantum ESPRESSO input:
```
&SYSTEM
  ibrav = 0, nat = 4, ntyp = 3
/
ATOMIC_SPECIES
La 138.91 La.upf
Y 88.91 Y.upf
Ir 192.22 Ir.upf
CELL_PARAMETERS angstrom
3.575 0.000 0.000
0.000 3.575 0.000
0.000 0.000 9.251
ATOMIC_POSITIONS crystal
La 0.000 0.000 0.000
La 0.500 0.500 0.336
Y 0.000 0.000 0.642
Ir 0.500 0.500 0.813
```